1.
The following is a GGA-PBE calculation of crystalline ZnFeW2 at its relaxed geometry, from Alexandria via LeMat-Bulk.

a b c (Å): 3.2394 3.2394 5.5245
angles (deg): 90.00 90.00 90.00
Space group P4/mmm (No. 123)
Inequivalent atoms, fractional coordinates:
Zn (0.0000, 0.0000, 0.0000)
Fe (0.0000, 0.0000, 0.5000)
W (0.5000, 0.5000, 0.2704)

- Density of states at the Fermi level: 0.667 states/eV/atom
- V: 58.0 Å³/cell
- Total energy: -34.2 eV/f.u.
- Energy relative to the elements: 0.35 eV per atom

2.
The following is a GGA-PBE calculation of crystalline ZnFe2W at its relaxed geometry, from Alexandria via LeMat-Bulk.

a b c (Å): 2.9843 2.9843 5.6936
angles (deg): 90.00 90.00 90.00
Space group P4/mmm (No. 123)
Inequivalent atoms, fractional coordinates:
Zn (0.0000, 0.0000, 0.0000)
Fe (0.5000, 0.5000, 0.2552)
W (0.0000, 0.0000, 0.5000)

- Density of states at the Fermi level: 0.433 states/eV/atom
- V: 50.7 Å³/cell
- Total energy: -30.9 eV/f.u.
- Energy relative to the elements: 0.07 eV per atom

3.
The following is a GGA-PBE calculation of crystalline Zn2FeW at its relaxed geometry, from Alexandria via LeMat-Bulk.

a b c (Å): 2.6149 4.0059 5.3562
angles (deg): 90.00 90.00 90.00
Space group Pmmm (No. 47)
Inequivalent atoms, fractional coordinates:
Zn (0.0000, 0.0000, 0.2390)
Fe (0.5000, 0.5000, 0.0000)
W (0.5000, 0.5000, 0.5000)

- Density of states at the Fermi level: 0.584 states/eV/atom
- V: 56.1 Å³/cell
- Total energy: -23.0 eV/f.u.
- Energy relative to the elements: 0.25 eV per atom
- ΔE to the lowest computed polymorph: 0.145 eV per atom

4.
The following is a GGA-PBE calculation of crystalline ZnFeW2 at its relaxed geometry, from Alexandria via LeMat-Bulk.

a b c (Å): 2.6512 4.3445 5.0800
angles (deg): 90.00 98.52 90.00
Space group Pm (No. 6)
Inequivalent atoms, fractional coordinates:
Zn (0.0000, 0.0000, 0.0000)
Fe (0.9097, 0.5000, 0.2550)
W (0.3828, 0.5000, 0.7582)
W (0.6126, 0.0000, 0.4840)

- Density of states at the Fermi level: 0.566 states/eV/atom
- V: 57.9 Å³/cell
- Total energy: -34.8 eV/f.u.
- Energy relative to the elements: 0.21 eV per atom

5.
The following is a GGA-PBE calculation of crystalline ZnFeW2 at its relaxed geometry, from Alexandria via LeMat-Bulk.

a b c (Å): 5.3168 8.5830 2.6432
angles (deg): 90.00 104.74 90.00
Space group C2/m (No. 12)
Inequivalent atoms, fractional coordinates:
Zn (0.0000, 0.0000, 0.0000)
Fe (0.0000, 0.5000, 0.0000)
W (0.2500, 0.2500, 0.5000)

- Density of states at the Fermi level: 0.789 states/eV/atom
- V: 116.6 Å³/cell
- Total energy: -34.5 eV/f.u.
- Energy relative to the elements: 0.27 eV per atom

6.
The following is a GGA-PBE calculation of crystalline ZnFeW4 at its relaxed geometry, from Alexandria via LeMat-Bulk.

a b c (Å): 7.4030 7.4030 7.4030
angles (deg): 90.00 90.00 90.00
Space group F-43m (No. 216)
Inequivalent atoms, fractional coordinates:
Zn (0.0000, 0.0000, 0.0000)
Fe (0.2500, 0.2500, 0.7500)
W (0.1254, 0.1254, 0.3746)

- Density of states at the Fermi level: 0.455 states/eV/atom
- V: 405.7 Å³/cell
- Total energy: -57.3 eV/f.u.
- Energy relative to the elements: 0.71 eV per atom